# 1
Entry from the Alexandria database: crystalline DyPd3Au3 at its relaxed geometry (PBE).

Cell and atoms, written as CIF:
```
data_DyPd3Au3
_chemical_formula_sum 'Dy2 Pd6 Au6'
_space_group_name_H-M_alt 'P 1 2/m 1'
_space_group_IT_number 10
_space_group_name_Hall '-P 2y'
_cell_length_a 6.5612
_cell_length_b 6.1272
_cell_length_c 6.6070
_cell_angle_alpha 90.00
_cell_angle_beta 91.95
_cell_angle_gamma 90.00
loop_
_atom_site_label
_atom_site_fract_x
_atom_site_fract_y
_atom_site_fract_z
_atom_site_occupancy
Dy1 0.2308 0.0000 0.2311 1
Pd1 0.0000 0.2561 0.5000 1
Pd2 0.5000 0.2552 0.0000 1
Pd3 0.5000 0.2666 0.5000 1
Au1 0.2178 0.5000 0.2174 1
Au2 0.2258 0.5000 0.7746 1
Au3 0.2503 0.0000 0.7496 1
```

Values from the calculation:
**Formation enthalpy at 0 K**: -41 kJ per mole of atoms
**DFT total energy**: -4.71 eV per atom
**DOS at the Fermi energy**: 3.95 states/eV/cell

=====

# 2
Entry from the Alexandria database: crystalline Dy3Pd2Au4 at its relaxed geometry (PBE).

Cell and atoms, written as CIF:
```
data_Dy3Pd2Au4
_chemical_formula_sum 'Dy12 Pd8 Au16'
_space_group_name_H-M_alt 'C 1 2/c 1'
_space_group_IT_number 15
_space_group_name_Hall '-C 2yc'
_cell_length_a 13.8999
_cell_length_b 10.3710
_cell_length_c 5.2424
_cell_angle_alpha 90.00
_cell_angle_beta 101.08
_cell_angle_gamma 90.00
loop_
_atom_site_label
_atom_site_fract_x
_atom_site_fract_y
_atom_site_fract_z
_atom_site_occupancy
Dy1 0.0000 0.1166 0.2500 1
Dy2 0.1656 0.3704 0.0849 1
Pd1 0.1105 0.1253 0.8094 1
Au1 0.0562 0.3674 0.5284 1
Au2 0.2217 0.1172 0.3563 1
```

Values from the calculation:
**Formation enthalpy at 0 K**: -77 kJ per mole of atoms
**DFT total energy**: -4.94 eV per atom
**DOS at the Fermi energy**: 14.10 states/eV/cell

=====

# 3
Entry from the Alexandria database: crystalline DyPdRhAu at its relaxed geometry (PBE).

Cell and atoms, written as CIF:
```
data_DyPdRhAu
_chemical_formula_sum 'Dy1 Pd1 Rh1 Au1'
_space_group_name_H-M_alt 'P m m m'
_space_group_IT_number 47
_space_group_name_Hall '-P 2 2'
_cell_length_a 3.9328
_cell_length_b 4.2122
_cell_length_c 4.2915
_cell_angle_alpha 90.00
_cell_angle_beta 90.00
_cell_angle_gamma 90.00
loop_
_atom_site_label
_atom_site_fract_x
_atom_site_fract_y
_atom_site_fract_z
_atom_site_occupancy
Dy1 0.0000 0.0000 0.0000 1
Pd1 0.5000 0.0000 0.5000 1
Rh1 0.5000 0.5000 0.0000 1
Au1 0.0000 0.5000 0.5000 1
```

Values from the calculation:
**Formation enthalpy at 0 K**: -72 kJ per mole of atoms
**DFT total energy**: -5.86 eV per atom
**DOS at the Fermi energy**: 3.17 states/eV/cell

=====

# 4
Entry from the Alexandria database: crystalline DyPdRhAu at its relaxed geometry (PBE).

Cell and atoms, written as CIF:
```
data_DyPdRhAu
_chemical_formula_sum 'Dy4 Pd4 Rh4 Au4'
_space_group_name_H-M_alt 'F -4 3 m'
_space_group_IT_number 216
_space_group_name_Hall 'F -4 2 3'
_cell_length_a 6.6225
_cell_length_b 6.6225
_cell_length_c 6.6225
_cell_angle_alpha 90.00
_cell_angle_beta 90.00
_cell_angle_gamma 90.00
loop_
_atom_site_label
_atom_site_fract_x
_atom_site_fract_y
_atom_site_fract_z
_atom_site_occupancy
Dy1 0.0000 0.0000 0.0000 1
Pd1 0.2500 0.2500 0.7500 1
Rh1 0.2500 0.2500 0.2500 1
Au1 0.0000 0.0000 0.5000 1
```

Values from the calculation:
**Formation enthalpy at 0 K**: -60 kJ per mole of atoms
**DFT total energy**: -5.73 eV per atom
**DOS at the Fermi energy**: 4.43 states/eV/cell

=====

# 5
Entry from the Alexandria database: crystalline DySbPdAu at its relaxed geometry (PBE).

Cell and atoms, written as CIF:
```
data_DySbPdAu
_chemical_formula_sum 'Dy4 Sb4 Pd4 Au4'
_space_group_name_H-M_alt 'F -4 3 m'
_space_group_IT_number 216
_space_group_name_Hall 'F -4 2 3'
_cell_length_a 6.9512
_cell_length_b 6.9512
_cell_length_c 6.9512
_cell_angle_alpha 90.00
_cell_angle_beta 90.00
_cell_angle_gamma 90.00
loop_
_atom_site_label
_atom_site_fract_x
_atom_site_fract_y
_atom_site_fract_z
_atom_site_occupancy
Dy1 0.0000 0.0000 0.0000 1
Sb1 0.0000 0.0000 0.5000 1
Pd1 0.2500 0.2500 0.7500 1
Au1 0.2500 0.2500 0.2500 1
```

Values from the calculation:
**DFT total energy**: -5.00 eV per atom
**Formation energy from raw total energies**: -701 meV/atom
**DOS at the Fermi energy**: 8.76 states/eV/cell

=====

# 6
Entry from the Alexandria database: crystalline DySb2Pd7Au2 at its relaxed geometry (PBE).

Cell and atoms, written as CIF:
```
data_DySb2Pd7Au2
_chemical_formula_sum 'Dy2 Sb4 Pd14 Au4'
_space_group_name_H-M_alt 'C 1 2/m 1'
_space_group_IT_number 12
_space_group_name_Hall '-C 2y'
_cell_length_a 5.8804
_cell_length_b 5.7808
_cell_length_c 12.8282
_cell_angle_alpha 90.00
_cell_angle_beta 90.04
_cell_angle_gamma 90.00
loop_
_atom_site_label
_atom_site_fract_x
_atom_site_fract_y
_atom_site_fract_z
_atom_site_occupancy
Dy1 0.0000 0.0000 0.0000 1
Sb1 0.0009 0.0000 0.3271 1
Pd1 0.0000 0.5000 0.0000 1
Pd2 0.2483 0.5000 0.4996 1
Pd3 0.2496 0.2499 0.1614 1
Au1 0.9999 0.5000 0.3135 1
```

Values from the calculation:
**DFT total energy**: -5.06 eV per atom
**Formation energy from raw total energies**: -416 meV/atom
**DOS at the Fermi energy**: 9.80 states/eV/cell

=====

# 7
Entry from the Alexandria database: crystalline DyScPdAu at its relaxed geometry (PBE).

Cell and atoms, written as CIF:
```
data_DyScPdAu
_chemical_formula_sum 'Dy2 Sc2 Pd2 Au2'
_space_group_name_H-M_alt 'A m m 2'
_space_group_IT_number 38
_space_group_name_Hall 'A 2 -2'
_cell_length_a 4.5324
_cell_length_b 3.5960
_cell_length_c 10.5462
_cell_angle_alpha 90.00
_cell_angle_beta 90.00
_cell_angle_gamma 90.00
loop_
_atom_site_label
_atom_site_fract_x
_atom_site_fract_y
_atom_site_fract_z
_atom_site_occupancy
Dy1 0.0000 0.0000 0.0000 1
Sc1 0.5000 0.0000 0.2776 1
Pd1 0.5000 0.0000 0.5522 1
Au1 0.0000 0.0000 0.7275 1
```

Values from the calculation:
**Formation enthalpy at 0 K**: -82 kJ per mole of atoms
**DFT total energy**: -5.70 eV per atom
**DOS at the Fermi energy**: 4.69 states/eV/cell

=====

# 8
Entry from the Alexandria database: crystalline DyScPdAu at its relaxed geometry (PBE).

Cell and atoms, written as CIF:
```
data_DyScPdAu
_chemical_formula_sum 'Dy4 Sc4 Pd4 Au4'
_space_group_name_H-M_alt 'F -4 3 m'
_space_group_IT_number 216
_space_group_name_Hall 'F -4 2 3'
_cell_length_a 6.9257
_cell_length_b 6.9257
_cell_length_c 6.9257
_cell_angle_alpha 90.00
_cell_angle_beta 90.00
_cell_angle_gamma 90.00
loop_
_atom_site_label
_atom_site_fract_x
_atom_site_fract_y
_atom_site_fract_z
_atom_site_occupancy
Dy1 0.0000 0.0000 0.0000 1
Sc1 0.0000 0.0000 0.5000 1
Pd1 0.2500 0.2500 0.7500 1
Au1 0.2500 0.2500 0.2500 1
```

Values from the calculation:
**Formation enthalpy at 0 K**: -80 kJ per mole of atoms
**DFT total energy**: -5.68 eV per atom
**DOS at the Fermi energy**: 12.52 states/eV/cell